Entry 1:
This record from Alexandria via LeMat-Bulk describes a relaxed K2TaNi crystal. The functional is PBE.

CIF file:
```
data_K2TaNi
_cell_length_a 2.8549
_cell_length_b 5.5557
_cell_length_c 5.9422
_cell_angle_alpha 90.00
_cell_angle_beta 90.00
_cell_angle_gamma 90.00
_symmetry_space_group_name_H-M 'P m m m'
_symmetry_Int_Tables_number 47
loop_
_symmetry_equiv_pos_as_xyz
'x,y,z'
'-x,-y,-z'
'-x,-y,z'
'x,y,-z'
'x,-y,-z'
'-x,y,z'
'-x,y,-z'
'x,-y,z'
loop_
_atom_site_label
_atom_site_fract_x
_atom_site_fract_y
_atom_site_fract_z
K1 0.0000 0.2447 0.0000
Ta1 0.5000 0.5000 0.5000
Ni1 0.5000 0.0000 0.5000
```

Summary:
- magnetization (μB per atom) = 0.000
- energy of formation (eV per atom) = 1.317


Entry 2:
This record from Alexandria via LeMat-Bulk describes a relaxed RbY2As2 crystal. The functional is PBE.

CIF file:
```
data_RbY2As2
_cell_length_a 5.0313
_cell_length_b 5.0313
_cell_length_c 14.5396
_cell_angle_alpha 90.00
_cell_angle_beta 90.00
_cell_angle_gamma 90.00
_symmetry_space_group_name_H-M 'I 4/m m m'
_symmetry_Int_Tables_number 139
_symmetry_space_group_name_Hall '-I 4 2'
loop_
_atom_site_label
_atom_site_fract_x
_atom_site_fract_y
_atom_site_fract_z
Rb1 0.0000 0.0000 0.0000
Y1 0.0000 0.5000 0.2500
As1 0.0000 0.0000 0.3426
```

Summary:
- magnetization (μB per atom) = 0.000
- energy of formation (eV per atom) = -0.888


Entry 3:
This record from Alexandria via LeMat-Bulk describes a relaxed Dy2PS crystal. The functional is PBE.

CIF file:
```
data_Dy2PS
_cell_length_a 5.5869
_cell_length_b 5.5869
_cell_length_c 11.2589
_cell_angle_alpha 90.00
_cell_angle_beta 90.00
_cell_angle_gamma 90.00
_symmetry_space_group_name_H-M 'I 41/a m d'
_symmetry_Int_Tables_number 141
loop_
_symmetry_equiv_pos_as_xyz
'x,y,z'
'-x,-y,-z'
'-y+1/4,x+3/4,z+1/4'
'y+1/4,-x+3/4,-z+1/4'
'-x+1/2,-y,z+1/2'
'x+1/2,y,-z+1/2'
'y+1/4,-x+1/4,z+3/4'
'-y+1/4,x+1/4,-z+3/4'
'x,-y,-z'
'-x,y,z'
'-y+1/4,-x+1/4,-z+3/4'
'y+1/4,x+1/4,z+3/4'
'-x+1/2,y,-z+1/2'
'x+1/2,-y,z+1/2'
'y+1/4,x+3/4,-z+1/4'
'-y+1/4,-x+3/4,z+1/4'
'x+1/2,y+1/2,z+1/2'
'-x+1/2,-y+1/2,-z+1/2'
'-y+3/4,x+1/4,z+3/4'
'y+3/4,-x+1/4,-z+3/4'
'-x,-y+1/2,z'
'x,y+1/2,-z'
'y+3/4,-x+3/4,z+1/4'
'-y+3/4,x+3/4,-z+1/4'
'x+1/2,-y+1/2,-z+1/2'
'-x+1/2,y+1/2,z+1/2'
'-y+3/4,-x+3/4,-z+1/4'
'y+3/4,x+3/4,z+1/4'
'-x,y+1/2,-z'
'x,-y+1/2,z'
'y+3/4,x+1/4,-z+3/4'
'-y+3/4,-x+1/4,z+3/4'
loop_
_atom_site_label
_atom_site_fract_x
_atom_site_fract_y
_atom_site_fract_z
Dy1 0.0000 0.2500 0.1202
P1 0.0000 0.2500 0.8750
S1 0.0000 0.2500 0.3750
```

Summary:
- magnetization (μB per atom) = 0.000
- ΔE_f (raw) (eV per atom) = -1.8746


Entry 4:
This record from Alexandria via LeMat-Bulk describes a relaxed InNiP2 crystal. The functional is PBE.

CIF file:
```
data_InNiP2
_cell_length_a 3.0748
_cell_length_b 3.0748
_cell_length_c 7.0056
_cell_angle_alpha 90.00
_cell_angle_beta 90.00
_cell_angle_gamma 90.00
_symmetry_space_group_name_H-M 'P 4 m m'
_symmetry_Int_Tables_number 99
loop_
_symmetry_equiv_pos_as_xyz
'x,y,z'
'-y,x,z'
'-x,-y,z'
'y,-x,z'
'-x,y,z'
'y,x,z'
'x,-y,z'
'-y,-x,z'
loop_
_atom_site_label
_atom_site_fract_x
_atom_site_fract_y
_atom_site_fract_z
In1 0.0000 0.0000 0.0000
Ni1 0.5000 0.5000 0.2787
P1 0.0000 0.0000 0.4338
P2 0.5000 0.5000 0.6064
```

Summary:
- magnetization (μB per atom) = 0.000
- energy of formation (eV per atom) = 0.159


Entry 5:
This record from Alexandria via LeMat-Bulk describes a relaxed TaTi2SbAs crystal. The functional is PBE.

CIF file:
```
data_TaTi2SbAs
_cell_length_a 4.9298
_cell_length_b 4.9298
_cell_length_c 5.1188
_cell_angle_alpha 90.00
_cell_angle_beta 90.00
_cell_angle_gamma 90.00
_symmetry_space_group_name_H-M 'P 4/m m m'
_symmetry_Int_Tables_number 123
_symmetry_space_group_name_Hall '-P 4 2'
loop_
_atom_site_label
_atom_site_fract_x
_atom_site_fract_y
_atom_site_fract_z
Ta1 0.0000 0.0000 0.0000
Ti1 0.0000 0.5000 0.5000
Sb1 0.5000 0.5000 0.5000
As1 0.5000 0.5000 0.0000
```

Summary:
- magnetization (μB per atom) = 0.000
- ΔE_f (raw) (eV per atom) = 1.4268


Entry 6:
This record from Alexandria via LeMat-Bulk describes a relaxed Pr5NdY4 crystal. The functional is PBE.

CIF file:
```
data_Pr5NdY4
_cell_length_a 10.4376
_cell_length_b 10.4376
_cell_length_c 6.3877
_cell_angle_alpha 90.00
_cell_angle_beta 90.00
_cell_angle_gamma 90.00
_symmetry_space_group_name_H-M 'I 4'
_symmetry_Int_Tables_number 79
loop_
_symmetry_equiv_pos_as_xyz
'x,y,z'
'-y,x,z'
'-x,-y,z'
'y,-x,z'
'x+1/2,y+1/2,z+1/2'
'-y+1/2,x+1/2,z+1/2'
'-x+1/2,-y+1/2,z+1/2'
'y+1/2,-x+1/2,z+1/2'
loop_
_atom_site_label
_atom_site_fract_x
_atom_site_fract_y
_atom_site_fract_z
Pr1 0.0000 0.0000 0.0000
Pr2 0.1532 0.7750 0.2708
Nd1 0.0000 0.0000 0.5420
Y1 0.0386 0.6587 0.7693
```

Summary:
- magnetization (μB per atom) = 0.000
- energy of formation (eV per atom) = 0.268


Entry 7:
This record from Alexandria via LeMat-Bulk describes a relaxed Ac2AlPt2 crystal. The functional is PBE.

CIF file:
```
data_Ac2AlPt2
_cell_length_a 7.4053
_cell_length_b 11.8087
_cell_length_c 6.2735
_cell_angle_alpha 90.00
_cell_angle_beta 90.00
_cell_angle_gamma 90.00
_symmetry_space_group_name_H-M 'I b a m'
_symmetry_Int_Tables_number 72
_symmetry_space_group_name_Hall '-I 2 2c'
loop_
_atom_site_label
_atom_site_fract_x
_atom_site_fract_y
_atom_site_fract_z
Ac1 0.1645 0.1468 0.0000
Al1 0.0000 0.5000 0.2500
Pt1 0.2283 0.3974 0.0000
```

Summary:
- magnetization (μB per atom) = 0.000
- energy of formation (eV per atom) = -1.000


Entry 8:
This record from Alexandria via LeMat-Bulk describes a relaxed BaSr3Pd crystal. The functional is PBE.

CIF file:
```
data_BaSr3Pd
_cell_length_a 11.2034
_cell_length_b 11.2034
_cell_length_c 12.6803
_cell_angle_alpha 90.00
_cell_angle_beta 90.00
_cell_angle_gamma 120.00
_symmetry_space_group_name_H-M 'R -3 c'
_symmetry_Int_Tables_number 167
_symmetry_space_group_name_Hall '-R 3 2"c'
loop_
_atom_site_label
_atom_site_fract_x
_atom_site_fract_y
_atom_site_fract_z
Ba1 0.0000 0.0000 0.0000
Sr1 0.0000 0.2738 0.2500
Pd1 0.0000 0.0000 0.2500
```

Summary:
- magnetization (μB per atom) = 0.000
- energy of formation (eV per atom) = -0.173


Entry 9:
This record from Alexandria via LeMat-Bulk describes a relaxed Ho11Mg9Co4 crystal. The functional is PBE.

CIF file:
```
data_Ho11Mg9Co4
_cell_length_a 14.3661
_cell_length_b 21.8995
_cell_length_c 3.6266
_cell_angle_alpha 90.00
_cell_angle_beta 90.00
_cell_angle_gamma 90.00
_symmetry_space_group_name_H-M 'C m m m'
_symmetry_Int_Tables_number 65
_symmetry_space_group_name_Hall '-C 2 2'
loop_
_atom_site_label
_atom_site_fract_x
_atom_site_fract_y
_atom_site_fract_z
Ho1 0.0000 0.0000 0.0000
Ho2 0.0000 0.1562 0.0000
Ho3 0.0000 0.3727 0.0000
Ho4 0.1883 0.5000 0.0000
Ho5 0.2439 0.3369 0.0000
Mg1 0.0000 0.5000 0.5000
Mg2 0.1069 0.2585 0.5000
Mg3 0.1482 0.0710 0.5000
Co1 0.1439 0.4028 0.5000
```

Summary:
- magnetization (μB per atom) = 0.017
- energy of formation (eV per atom) = -0.134


Entry 10:
This record from Alexandria via LeMat-Bulk describes a relaxed Ca2PbW crystal. The functional is PBE.

CIF file:
```
data_Ca2PbW
_cell_length_a 8.5072
_cell_length_b 8.5072
_cell_length_c 5.9356
_cell_angle_alpha 90.00
_cell_angle_beta 90.00
_cell_angle_gamma 90.00
_symmetry_space_group_name_H-M 'I -4 2 d'
_symmetry_Int_Tables_number 122
_symmetry_space_group_name_Hall 'I -4 2bw'
loop_
_atom_site_label
_atom_site_fract_x
_atom_site_fract_y
_atom_site_fract_z
Ca1 0.2302 0.2500 0.1250
Pb1 0.0000 0.0000 0.5000
W1 0.0000 0.0000 0.0000
```

Summary:
- magnetization (μB per atom) = 0.209
- energy of formation (eV per atom) = 0.943


Entry 11:
This record from Alexandria via LeMat-Bulk describes a relaxed ZnPd3Pb crystal. The functional is PBE.

CIF file:
```
data_ZnPd3Pb
_cell_length_a 4.6843
_cell_length_b 4.6843
_cell_length_c 4.6843
_cell_angle_alpha 90.00
_cell_angle_beta 90.00
_cell_angle_gamma 90.00
_symmetry_space_group_name_H-M 'P m -3 m'
_symmetry_Int_Tables_number 221
_symmetry_space_group_name_Hall '-P 4 2 3'
loop_
_atom_site_label
_atom_site_fract_x
_atom_site_fract_y
_atom_site_fract_z
Zn1 0.0000 0.0000 0.0000
Pd1 0.0000 0.0000 0.5000
Pb1 0.5000 0.5000 0.5000
```

Summary:
- magnetization (μB per atom) = 0.000
- energy of formation (eV per atom) = 0.168


Entry 12:
This record from Alexandria via LeMat-Bulk describes a relaxed LaPaAlGa crystal. The functional is PBE.

CIF file:
```
data_LaPaAlGa
_cell_length_a 7.3537
_cell_length_b 7.3537
_cell_length_c 7.3537
_cell_angle_alpha 90.00
_cell_angle_beta 90.00
_cell_angle_gamma 90.00
_symmetry_space_group_name_H-M 'F -4 3 m'
_symmetry_Int_Tables_number 216
_symmetry_space_group_name_Hall 'F -4 2 3'
loop_
_atom_site_label
_atom_site_fract_x
_atom_site_fract_y
_atom_site_fract_z
La1 0.0000 0.0000 0.0000
Pa1 0.0000 0.0000 0.5000
Al1 0.2500 0.2500 0.7500
Ga1 0.2500 0.2500 0.2500
```

Summary:
- magnetization (μB per atom) = 0.315
- energy of formation (eV per atom) = -0.130


Entry 13:
This record from Alexandria via LeMat-Bulk describes a relaxed NpCuAuO6 crystal. The functional is PBE.

CIF file:
```
data_NpCuAuO6
_cell_length_a 5.3023
_cell_length_b 5.3023
_cell_length_c 9.2810
_cell_angle_alpha 90.00
_cell_angle_beta 90.00
_cell_angle_gamma 120.00
_symmetry_space_group_name_H-M 'P -3 1 c'
_symmetry_Int_Tables_number 163
_symmetry_space_group_name_Hall '-P 3 2c'
loop_
_atom_site_label
_atom_site_fract_x
_atom_site_fract_y
_atom_site_fract_z
Np1 0.3333 0.6667 0.2500
Cu1 0.3333 0.6667 0.7500
Au1 0.0000 0.0000 0.0000
O1 0.0005 0.3433 0.1344
```

Summary:
- magnetization (μB per atom) = 0.001
- ΔE_f (raw) (eV per atom) = -1.1990


Entry 14:
This record from Alexandria via LeMat-Bulk describes a relaxed PmNdZnHg crystal. The functional is PBE.

CIF file:
```
data_PmNdZnHg
_cell_length_a 7.5196
_cell_length_b 7.5196
_cell_length_c 7.5196
_cell_angle_alpha 90.00
_cell_angle_beta 90.00
_cell_angle_gamma 90.00
_symmetry_space_group_name_H-M 'F -4 3 m'
_symmetry_Int_Tables_number 216
_symmetry_space_group_name_Hall 'F -4 2 3'
loop_
_atom_site_label
_atom_site_fract_x
_atom_site_fract_y
_atom_site_fract_z
Pm1 0.0000 0.0000 0.0000
Nd1 0.0000 0.0000 0.5000
Zn1 0.2500 0.2500 0.7500
Hg1 0.2500 0.2500 0.2500
```

Summary:
- magnetization (μB per atom) = 0.225
- energy of formation (eV per atom) = -0.374


Entry 15:
This record from Alexandria via LeMat-Bulk describes a relaxed NaGa2I3 crystal. The functional is PBE.

CIF file:
```
data_NaGa2I3
_cell_length_a 7.8863
_cell_length_b 4.5509
_cell_length_c 12.5287
_cell_angle_alpha 90.00
_cell_angle_beta 102.22
_cell_angle_gamma 90.00
_symmetry_space_group_name_H-M 'P 1 21/m 1'
_symmetry_Int_Tables_number 11
loop_
_symmetry_equiv_pos_as_xyz
'x,y,z'
'-x,-y,-z'
'-x,y+1/2,-z'
'x,-y+1/2,z'
loop_
_atom_site_label
_atom_site_fract_x
_atom_site_fract_y
_atom_site_fract_z
Na1 0.0294 0.2500 0.3321
Ga1 0.2483 0.2500 0.9971
Ga2 0.4741 0.2500 0.6700
I1 0.1348 0.7500 0.1631
I2 0.2435 0.7500 0.4985
I3 0.3577 0.7500 0.8362
```

Summary:
- magnetization (μB per atom) = 0.000
- ΔE_f (raw) (eV per atom) = -0.6090


Entry 16:
This record from Alexandria via LeMat-Bulk describes a relaxed RbSiC2 crystal. The functional is PBE.

CIF file:
```
data_RbSiC2
_cell_length_a 5.4048
_cell_length_b 5.4048
_cell_length_c 9.8023
_cell_angle_alpha 90.00
_cell_angle_beta 90.00
_cell_angle_gamma 90.00
_symmetry_space_group_name_H-M 'I 41/a m d'
_symmetry_Int_Tables_number 141
loop_
_symmetry_equiv_pos_as_xyz
'x,y,z'
'-x,-y,-z'
'-y+1/4,x+3/4,z+1/4'
'y+1/4,-x+3/4,-z+1/4'
'-x+1/2,-y,z+1/2'
'x+1/2,y,-z+1/2'
'y+1/4,-x+1/4,z+3/4'
'-y+1/4,x+1/4,-z+3/4'
'x,-y,-z'
'-x,y,z'
'-y+1/4,-x+1/4,-z+3/4'
'y+1/4,x+1/4,z+3/4'
'-x+1/2,y,-z+1/2'
'x+1/2,-y,z+1/2'
'y+1/4,x+3/4,-z+1/4'
'-y+1/4,-x+3/4,z+1/4'
'x+1/2,y+1/2,z+1/2'
'-x+1/2,-y+1/2,-z+1/2'
'-y+3/4,x+1/4,z+3/4'
'y+3/4,-x+1/4,-z+3/4'
'-x,-y+1/2,z'
'x,y+1/2,-z'
'y+3/4,-x+3/4,z+1/4'
'-y+3/4,x+3/4,-z+1/4'
'x+1/2,-y+1/2,-z+1/2'
'-x+1/2,y+1/2,z+1/2'
'-y+3/4,-x+3/4,-z+1/4'
'y+3/4,x+3/4,z+1/4'
'-x,y+1/2,-z'
'x,-y+1/2,z'
'y+3/4,x+1/4,-z+3/4'
'-y+3/4,-x+1/4,z+3/4'
loop_
_atom_site_label
_atom_site_fract_x
_atom_site_fract_y
_atom_site_fract_z
Rb1 0.0000 0.2500 0.3750
Si1 0.0000 0.2500 0.8750
C1 0.0000 0.0000 0.0000
```

Summary:
- magnetization (μB per atom) = 0.000
- ΔE_f (raw) (eV per atom) = 0.9650


Entry 17:
This record from Alexandria via LeMat-Bulk describes a relaxed Co3Mo crystal. The functional is PBE.

CIF file:
```
data_Co3Mo
_cell_length_a 2.5982
_cell_length_b 2.5982
_cell_length_c 25.1830
_cell_angle_alpha 90.00
_cell_angle_beta 90.00
_cell_angle_gamma 120.00
_symmetry_space_group_name_H-M 'R -3 m'
_symmetry_Int_Tables_number 166
_symmetry_space_group_name_Hall '-R 3 2"'
loop_
_atom_site_label
_atom_site_fract_x
_atom_site_fract_y
_atom_site_fract_z
Co1 0.0000 0.0000 0.0000
Co2 0.0000 0.0000 0.2551
Mo1 0.0000 0.0000 0.5000
```

Summary:
- magnetization (μB per atom) = 0.995
- energy of formation (eV per atom) = 0.184


Entry 18:
This record from Alexandria via LeMat-Bulk describes a relaxed SrSc2Al crystal. The functional is PBE.

CIF file:
```
data_SrSc2Al
_cell_length_a 3.5988
_cell_length_b 3.5988
_cell_length_c 8.5023
_cell_angle_alpha 90.00
_cell_angle_beta 90.00
_cell_angle_gamma 90.00
_symmetry_space_group_name_H-M 'P 4 m m'
_symmetry_Int_Tables_number 99
loop_
_symmetry_equiv_pos_as_xyz
'x,y,z'
'-y,x,z'
'-x,-y,z'
'y,-x,z'
'-x,y,z'
'y,x,z'
'x,-y,z'
'-y,-x,z'
loop_
_atom_site_label
_atom_site_fract_x
_atom_site_fract_y
_atom_site_fract_z
Sr1 0.0000 0.0000 0.0000
Sc1 0.0000 0.0000 0.4383
Sc2 0.5000 0.5000 0.6600
Al1 0.5000 0.5000 0.2703
```

Summary:
- magnetization (μB per atom) = 0.296
- energy of formation (eV per atom) = -0.033


Entry 19:
This record from Alexandria via LeMat-Bulk describes a relaxed Sr3HAu crystal. The functional is PBE.

CIF file:
```
data_Sr3HAu
_cell_length_a 8.3560
_cell_length_b 4.0902
_cell_length_c 9.5442
_cell_angle_alpha 90.00
_cell_angle_beta 101.82
_cell_angle_gamma 90.00
_symmetry_space_group_name_H-M 'P 1 21/m 1'
_symmetry_Int_Tables_number 11
loop_
_symmetry_equiv_pos_as_xyz
'x,y,z'
'-x,-y,-z'
'-x,y+1/2,-z'
'x,-y+1/2,z'
loop_
_atom_site_label
_atom_site_fract_x
_atom_site_fract_y
_atom_site_fract_z
Sr1 0.0635 0.2500 0.3327
Sr2 0.2735 0.2500 0.9962
Sr3 0.3816 0.7500 0.6307
H1 0.1300 0.2500 0.6058
Au1 0.3307 0.7500 0.2639
```

Summary:
- magnetization (μB per atom) = 0.000
- total energy (eV/atom) = -2.77


Entry 20:
This record from Alexandria via LeMat-Bulk describes a relaxed Al2HgPb crystal. The functional is PBE.

CIF file:
```
data_Al2HgPb
_cell_length_a 3.4543
_cell_length_b 3.8033
_cell_length_c 7.0611
_cell_angle_alpha 90.00
_cell_angle_beta 90.00
_cell_angle_gamma 90.00
_symmetry_space_group_name_H-M 'P m m m'
_symmetry_Int_Tables_number 47
loop_
_symmetry_equiv_pos_as_xyz
'x,y,z'
'-x,-y,-z'
'-x,-y,z'
'x,y,-z'
'x,-y,-z'
'-x,y,z'
'-x,y,-z'
'x,-y,z'
loop_
_atom_site_label
_atom_site_fract_x
_atom_site_fract_y
_atom_site_fract_z
Al1 0.0000 0.0000 0.2122
Hg1 0.5000 0.5000 0.0000
Pb1 0.5000 0.5000 0.5000
```

Summary:
- magnetization (μB per atom) = 0.000
- energy of formation (eV per atom) = 0.225